4
Lattice="1.761 1.017 6.324 -1.761 1.017 6.324 0.000 -2.033 6.324" Properties=species:S:1:pos:R:3 comment="LiTaP2 (PBE-GGA, optimized geometry)" magnetic_moment_mub_per_fu=0.0 spacegroup="R3m (160)" n_ef_per_ev_fu=0.7 pbc="T T T"
Li 0.000 0.000 0.000
Ta 0.000 0.000 3.211
P 0.000 0.000 11.026
P 0.000 0.000 14.354

=====

14
Lattice="2.623 -4.026 0.000 2.623 4.026 0.000 0.000 0.000 6.272" Properties=species:S:1:pos:R:3 comment="LiBeIrO4 (PBE-GGA, optimized geometry)" magnetic_moment_mub_per_fu=0.0 spacegroup="Cmcm (63)" n_ef_per_ev_fu=4.2 pbc="T T T"
Li 2.623 2.689 4.704
Li 2.623 -2.689 1.568
Be 2.623 2.754 1.568
Be 2.623 -2.754 4.704
Ir 2.623 0.000 0.000
Ir 2.623 0.000 3.136
O 1.344 0.224 4.704
O 2.623 1.907 0.216
O 2.623 1.907 2.920
O 1.344 -0.224 1.568
O 3.903 0.224 4.704
O 2.623 -1.907 3.352
O 2.623 -1.907 6.057
O 3.903 -0.224 1.568

=====

6
Lattice="-1.414 6.916 2.211 1.414 -6.916 2.211 1.414 6.916 -2.211" Properties=species:S:1:pos:R:3 comment="TaCuSi (PBE-GGA, optimized geometry)" magnetic_moment_mub_per_fu=0.0 spacegroup="Imm2 (44)" n_ef_per_ev_fu=1.1 pbc="T T T"
Ta 0.000 2.495 0.000
Ta 0.000 11.337 0.000
Cu 0.000 0.000 1.446
Cu 0.000 6.916 1.578
Si 1.414 -1.828 2.197
Si 1.414 1.828 2.197

=====

4
Lattice="1.465 -2.526 0.000 1.465 2.526 0.000 0.000 0.000 9.811" Properties=species:S:1:pos:R:3 comment="LiTa2Cl (PBE-GGA, optimized geometry)" magnetic_moment_mub_per_fu=0.0 spacegroup="Cmmm (65)" n_ef_per_ev_fu=3.3 pbc="T T T"
Li 0.000 0.000 0.000
Ta 1.465 0.000 2.629
Ta 1.465 0.000 7.182
Cl 0.000 0.000 4.906

=====

5
Lattice="5.882 0.000 0.000 0.000 5.882 0.000 0.000 0.000 5.882" Properties=species:S:1:pos:R:3 comment="RbAsI3 (PBE-GGA, optimized geometry)" magnetic_moment_mub_per_fu=0.0 spacegroup="Pm-3m (221)" n_ef_per_ev_fu=1.5 pbc="T T T"
Rb 0.000 0.000 0.000
As 2.941 2.941 2.941
I 0.000 2.941 2.941
I 2.941 0.000 2.941
I 2.941 2.941 0.000

=====

8
Lattice="5.027 0.000 0.000 0.000 5.027 0.000 0.000 0.000 9.998" Properties=species:S:1:pos:R:3 comment="Tb4Nd2ErSc (PBE-GGA, optimized geometry)" magnetic_moment_mub_per_fu=0.0 spacegroup="P4/mmm (123)" n_ef_per_ev_fu=11.8 pbc="T T T"
Tb 0.000 2.514 2.462
Tb 0.000 2.514 7.535
Tb 2.514 0.000 2.462
Tb 2.514 0.000 7.535
Nd 0.000 0.000 0.000
Nd 2.514 2.514 4.999
Er 0.000 0.000 4.999
Sc 2.514 2.514 0.000

=====

14
Lattice="10.338 0.000 0.000 -5.169 8.953 0.000 0.000 0.000 6.274" Properties=species:S:1:pos:R:3 comment="CaAc3La3 (PBE-GGA, optimized geometry)" magnetic_moment_mub_per_fu=0.7 spacegroup="P6_3/m (176)" n_ef_per_ev_fu=13.6 pbc="T T T"
Ca 0.000 5.969 1.568
Ca 5.169 2.984 4.705
Ac -0.810 2.163 1.568
Ac -2.890 8.574 1.568
Ac 1.468 1.784 4.705
Ac 3.701 7.170 1.568
Ac 8.060 0.380 4.705
Ac 5.980 6.790 4.705
La -1.470 4.287 4.705
La -0.722 8.083 4.705
La 2.978 3.416 1.568
La 2.192 5.537 4.705
La 5.891 0.870 1.568
La 6.639 4.667 1.568

=====

8
Lattice="2.206 1.273 8.950 -2.206 1.273 8.950 0.000 -2.547 8.950" Properties=species:S:1:pos:R:3 comment="NpGa4PtAu2 (PBE-GGA, optimized geometry)" magnetic_moment_mub_per_fu=4.3 spacegroup="R-3m (166)" n_ef_per_ev_fu=10.1 pbc="T T T"
Np 0.000 0.000 0.000
Ga 0.000 0.000 3.551
Ga 0.000 0.000 10.727
Ga 0.000 0.000 16.125
Ga 0.000 0.000 23.301
Pt 0.000 0.000 13.426
Au 0.000 0.000 6.860
Au 0.000 0.000 19.991

=====

8
Lattice="2.698 1.558 8.823 -2.698 1.558 8.823 0.000 -3.116 8.823" Properties=species:S:1:pos:R:3 comment="Nd4Al2TlHg (PBE-GGA, optimized geometry)" magnetic_moment_mub_per_fu=0.0 spacegroup="R-3m (166)" n_ef_per_ev_fu=8.0 pbc="T T T"
Nd 0.000 0.000 3.258
Nd 0.000 0.000 9.875
Nd 0.000 0.000 16.595
Nd 0.000 0.000 23.211
Al 0.000 0.000 6.617
Al 0.000 0.000 19.853
Tl 0.000 0.000 13.235
Hg 0.000 0.000 0.000

=====

11
Lattice="5.264 -6.771 0.000 5.264 6.771 0.000 -0.059 0.000 5.656" Properties=species:S:1:pos:R:3 comment="La8Pr2Tl (PBE-GGA, optimized geometry)" magnetic_moment_mub_per_fu=0.0 spacegroup="Cm (8)" n_ef_per_ev_fu=18.4 pbc="T T T"
La 0.000 0.000 0.000
La 3.457 0.000 5.638
La 5.323 1.810 2.784
La 6.970 3.425 5.647
La 5.323 -1.810 2.784
La 8.655 1.798 2.853
La 6.970 -3.425 5.647
La 8.655 -1.798 2.853
Pr 1.728 1.645 2.819
Pr 1.728 -1.645 2.819
Tl 6.961 0.000 5.647

=====

11
Lattice="3.936 -6.425 0.000 3.936 6.425 0.000 -1.927 0.000 4.992" Properties=species:S:1:pos:R:3 comment="Hf8SnTe2 (PBE-GGA, optimized geometry)" magnetic_moment_mub_per_fu=0.0 spacegroup="C2/m (12)" n_ef_per_ev_fu=11.8 pbc="T T T"
Hf 0.395 1.439 3.118
Hf 3.936 3.433 0.000
Hf 0.395 -1.439 3.118
Hf 2.815 0.000 0.898
Hf 3.130 0.000 4.094
Hf 5.550 1.439 1.874
Hf 3.936 -3.433 0.000
Hf 5.550 -1.439 1.874
Sn 0.000 0.000 0.000
Te 2.972 2.481 2.496
Te 2.972 -2.481 2.496

=====

4
Lattice="0.000 4.221 4.221 4.221 0.000 4.221 4.221 4.221 0.000" Properties=species:S:1:pos:R:3 comment="RbAcInPb (PBE-GGA, optimized geometry)" magnetic_moment_mub_per_fu=0.0 spacegroup="F-43m (216)" n_ef_per_ev_fu=3.4 pbc="T T T"
Rb 0.000 0.000 0.000
Ac 4.221 4.221 4.221
In 2.110 2.110 2.110
Pb 6.331 6.331 6.331

=====

5
Lattice="3.634 0.000 0.000 0.000 3.634 0.000 0.000 0.000 6.451" Properties=species:S:1:pos:R:3 comment="ZnSeSN2 (PBE-GGA, optimized geometry)" magnetic_moment_mub_per_fu=0.0 spacegroup="P4/mmm (123)" n_ef_per_ev_fu=2.3 pbc="T T T"
Zn 0.000 0.000 0.000
Se 1.817 1.817 3.225
S 1.817 1.817 0.000
N 0.000 1.817 3.225
N 1.817 0.000 3.225

=====

12
Lattice="3.526 -6.107 0.000 3.526 6.107 0.000 -2.351 0.000 6.625" Properties=species:S:1:pos:R:3 comment="LaCe2Ho3P6 (PBE-GGA, optimized geometry)" magnetic_moment_mub_per_fu=0.9 spacegroup="C2/m (12)" n_ef_per_ev_fu=10.5 pbc="T T T"
La 0.000 0.000 0.000
Ce 3.526 2.040 0.000
Ce 3.526 -2.040 0.000
Ho 2.351 4.088 3.312
Ho 2.351 0.000 3.312
Ho 2.351 -4.088 3.312
P 1.202 2.080 1.705
P 0.050 0.000 4.916
P 1.202 -2.080 1.705
P 3.500 2.080 4.919
P 4.651 0.000 1.709
P 3.500 -2.080 4.919

=====

11
Lattice="4.360 -6.746 0.000 4.360 6.746 0.000 -1.425 0.000 5.298" Properties=species:S:1:pos:R:3 comment="Dy8TlPt2 (PBE-GGA, optimized geometry)" magnetic_moment_mub_per_fu=0.0 spacegroup="C2/m (12)" n_ef_per_ev_fu=13.6 pbc="T T T"
Dy 0.965 1.697 3.058
Dy 4.360 3.451 0.000
Dy 0.965 -1.697 3.058
Dy 3.140 0.000 1.035
Dy 4.154 0.000 4.263
Dy 6.329 1.697 2.240
Dy 4.360 -3.451 0.000
Dy 6.329 -1.697 2.240
Tl 0.000 0.000 0.000
Pt 3.647 2.642 2.649
Pt 3.647 -2.642 2.649

=====

20
Lattice="4.629 0.000 0.000 -2.207 5.108 0.000 -1.497 -1.351 15.341" Properties=species:S:1:pos:R:3 comment="Mg2Si3 (PBE-GGA, optimized geometry)" magnetic_moment_mub_per_fu=0.0 spacegroup="P1 (1)" n_ef_per_ev_fu=1.4 pbc="T T T"
Mg 0.000 0.000 0.000
Mg -2.694 3.875 7.576
Mg -0.153 1.269 2.785
Mg -1.042 0.388 12.498
Mg -1.289 1.691 15.317
Mg 1.719 0.831 7.597
Mg 1.465 2.129 10.419
Mg 2.092 2.617 4.791
Si -0.991 0.069 9.866
Si -0.263 0.582 5.436
Si -0.808 2.258 8.892
Si -0.288 2.763 6.482
Si -0.132 4.223 2.578
Si -0.901 3.361 12.641
Si 1.319 -0.848 10.277
Si 2.065 -0.336 4.988
Si 2.223 1.124 1.093
Si 1.233 0.254 14.024
Si 2.196 3.301 2.140
Si 1.408 2.443 13.053

=====

4
Lattice="4.695 -1.380 0.000 4.695 1.380 0.000 -1.272 0.000 4.464" Properties=species:S:1:pos:R:3 comment="InNi2W (PBE-GGA, optimized geometry)" magnetic_moment_mub_per_fu=0.0 spacegroup="Cm (8)" n_ef_per_ev_fu=2.8 pbc="T T T"
In 0.000 0.000 0.000
Ni 1.230 0.000 3.692
Ni 4.251 0.000 2.278
W 6.845 0.000 1.613

=====

10
Lattice="8.255 0.000 0.000 0.000 8.255 0.000 0.000 0.000 3.987" Properties=species:S:1:pos:R:3 comment="KNa2Cu2 (PBE-GGA, optimized geometry)" magnetic_moment_mub_per_fu=0.0 spacegroup="P4/mbm (127)" n_ef_per_ev_fu=2.3 pbc="T T T"
K 0.000 0.000 0.000
K 4.127 4.127 0.000
Na 1.360 2.768 1.994
Na 2.768 6.895 1.994
Na 5.487 1.360 1.994
Na 6.895 5.487 1.994
Cu 0.874 5.001 0.000
Cu 3.254 0.874 0.000
Cu 5.001 7.381 0.000
Cu 7.381 3.254 0.000

=====

15
Lattice="4.263 2.461 7.053 -4.263 2.461 7.053 0.000 -4.923 7.053" Properties=species:S:1:pos:R:3 comment="Sr3Ce3TiAs8 (PBE-GGA, optimized geometry)" magnetic_moment_mub_per_fu=0.0 spacegroup="R-3m (166)" n_ef_per_ev_fu=11.3 pbc="T T T"
Sr -2.132 -1.231 7.053
Sr -2.132 1.231 14.106
Sr 0.000 2.461 7.053
Ce -4.263 0.000 10.580
Ce -2.132 1.231 3.527
Ce 2.132 1.231 3.527
Ti 0.000 0.000 10.580
As 0.000 0.000 5.104
As -1.959 -1.131 11.977
As 0.000 -2.262 9.182
As -1.959 1.131 9.182
As 1.959 -1.131 11.977
As 0.000 2.262 11.977
As 1.959 1.131 9.182
As 0.000 0.000 16.055

=====

19
Lattice="5.756 3.323 2.864 -5.756 3.323 2.864 0.000 -6.646 2.864" Properties=species:S:1:pos:R:3 comment="SrGa6Pd12 (PBE-GGA, optimized geometry)" magnetic_moment_mub_per_fu=0.0 spacegroup="R-3m (166)" n_ef_per_ev_fu=4.0 pbc="T T T"
Sr 0.000 0.000 0.000
Ga 0.000 -2.913 3.491
Ga -2.523 1.456 3.491
Ga -2.523 -1.456 5.101
Ga 2.523 1.456 3.491
Ga 2.523 -1.456 5.101
Ga 0.000 2.913 5.101
Pd -2.173 -3.764 4.296
Pd -4.346 0.000 4.296
Pd -1.454 -0.839 2.904
Pd 1.454 -0.839 2.904
Pd 0.000 1.679 2.904
Pd 2.173 -3.764 4.296
Pd -2.173 3.764 4.296
Pd 0.000 -1.679 5.688
Pd -1.454 0.839 5.688
Pd 1.454 0.839 5.688
Pd 4.346 0.000 4.296
Pd 2.173 3.764 4.296

=====

4
Lattice="2.771 0.000 0.000 0.000 2.771 0.000 0.000 0.000 7.396" Properties=species:S:1:pos:R:3 comment="Cu2IrAu (PBE-GGA, optimized geometry)" magnetic_moment_mub_per_fu=0.3 spacegroup="P4mm (99)" n_ef_per_ev_fu=4.5 pbc="T T T"
Cu 0.000 0.000 0.000
Cu 1.385 1.385 1.608
Ir 0.000 0.000 3.333
Au 1.385 1.385 5.472

=====

5
Lattice="-1.737 1.737 6.338 1.737 -1.737 6.338 1.737 1.737 -6.338" Properties=species:S:1:pos:R:3 comment="Zn2Cu2Ag (PBE-GGA, optimized geometry)" magnetic_moment_mub_per_fu=0.0 spacegroup="I4/mmm (139)" n_ef_per_ev_fu=1.5 pbc="T T T"
Zn 0.000 0.000 1.304
Zn 0.000 0.000 11.371
Cu 1.737 0.000 3.169
Cu 0.000 1.737 3.169
Ag 0.000 0.000 6.338

=====

5
Lattice="4.249 0.000 0.000 0.000 4.249 0.000 0.000 0.000 4.586" Properties=species:S:1:pos:R:3 comment="TlGaO2F (PBE-GGA, optimized geometry)" magnetic_moment_mub_per_fu=0.5 spacegroup="P4/mmm (123)" n_ef_per_ev_fu=3.9 pbc="T T T"
Tl 0.000 0.000 0.000
Ga 2.124 2.124 2.293
O 0.000 2.124 0.000
O 2.124 0.000 0.000
F 0.000 0.000 2.293

=====

Number 1: VASP energy -26.86 eV per cell. Number 2: VASP energy -89.68 eV per cell. Number 3: VASP energy -44.04 eV per cell. Number 4: VASP energy -25.74 eV per cell. Number 5: VASP energy -13.29 eV per cell. Number 6: VASP energy -38.69 eV per cell. Number 7: VASP energy -57.48 eV per cell. Number 8: VASP energy -39.74 eV per cell. Number 9: VASP energy -32.15 eV per cell. Number 10: VASP energy -50.80 eV per cell. Number 11: VASP energy -90.92 eV per cell. Number 12: VASP energy -12.03 eV per cell. Number 13: VASP energy -18.80 eV per cell. Number 14: VASP energy -81.76 eV per cell. Number 15: VASP energy -56.64 eV per cell. Number 16: VASP energy -75.99 eV per cell. Number 17: VASP energy -26.42 eV per cell. Number 18: VASP energy -20.62 eV per cell. Number 19: VASP energy -82.80 eV per cell. Number 20: VASP energy -93.47 eV per cell. Number 21: VASP energy -19.58 eV per cell. Number 22: VASP energy -13.14 eV per cell. Number 23: VASP energy -19.85 eV per cell.